(1)
The following is a GGA-PBE calculation of K2CdOs after structural relaxation, from the Alexandria database.

Calculated values
DFT total energy   -9.9 eV per cell
Theoretical density   6.48 g/cm³

abc: 6.2668 6.2668 6.2668
angles: 140.78 140.78 56.68
Sites, in units of the cell vectors:
Cd: 0.7500 0.2500 0.5000
K: 0.0000 0.0000 0.0000
K: 0.5000 0.5000 0.0000
Os: 0.2500 0.7500 0.5000

***

(2)
The following is a GGA-PBE calculation of KCd2Os after structural relaxation, from the Alexandria database.

Calculated values
DFT total energy   -10.5 eV per cell
Energy above the most stable polymorph in this dataset   362.4 meV per atom
Theoretical density   8.40 g/cm³

abc: 2.7367 5.9385 5.5213
angles: 90.00 90.00 90.00
Sites, in units of the cell vectors:
Cd: 0.0000 0.0000 0.0000
Cd: 0.5000 0.5000 0.0000
K: 0.5000 0.0000 0.5000
Os: 0.0000 0.5000 0.5000

***

(3)
The following is a GGA-PBE calculation of K2CdOs after structural relaxation, from the Alexandria database.

Calculated values
DFT total energy   -10.5 eV per cell
Theoretical density   6.75 g/cm³

abc: 12.1617 12.1617 12.1617
angles: 14.16 14.16 14.16
Sites, in units of the cell vectors:
Cd: 0.7500 0.7500 0.7500
K: 0.9926 0.9926 0.9926
K: 0.5074 0.5074 0.5074
Os: 0.2500 0.2500 0.2500

***

(4)
The following is a GGA-PBE calculation of K2CdOs after structural relaxation, from the Alexandria database.

Calculated values
DFT total energy   -10.9 eV per cell
Theoretical density   4.66 g/cm³

abc: 3.6767 3.6767 10.0396
angles: 90.00 90.00 90.00
Sites, in units of the cell vectors:
Cd: 0.5000 0.5000 0.6617
K: 0.0000 0.0000 0.9121
K: 0.5000 0.5000 0.3396
Os: 0.0000 0.0000 0.5867

***

(5)
The following is a GGA-PBE calculation of KCd2Os2 after structural relaxation, from the Alexandria database.

Calculated values
DFT total energy   -22.1 eV per cell
Energy above the most stable polymorph in this dataset   0.0 meV per atom
Theoretical density   8.28 g/cm³

abc: 3.5346 3.5346 10.6358
angles: 80.43 80.43 90.00
Sites, in units of the cell vectors:
K: 0.0000 0.0000 0.0000
Os: 0.7500 0.2500 0.5000
Os: 0.2500 0.7500 0.5000
Cd: 0.3669 0.3669 0.2662
Cd: 0.6331 0.6331 0.7338

***

(6)
The following is a GGA-PBE calculation of KCd2Os after structural relaxation, from the Alexandria database.

Calculated values
DFT total energy   -11.3 eV per cell
Energy above the most stable polymorph in this dataset   180.6 meV per atom
Theoretical density   8.62 g/cm³

abc: 2.8982 2.8982 10.4210
angles: 90.00 90.00 90.00
Sites, in units of the cell vectors:
Cd: 0.0000 0.0000 0.9771
Cd: 0.5000 0.5000 0.2248
K: 0.0000 0.0000 0.5201
Os: 0.5000 0.5000 0.7781

***

Number 1: V 97.6 Å³/cell, total moment 0.00 μB/f.u., E_form 108 kJ per mole of atoms. Number 2: V 89.7 Å³/cell, total moment 0.00 μB/f.u., E_form 87 kJ per mole of atoms. Number 3: V 93.7 Å³/cell, total moment 0.23 μB/f.u., E_form 92 kJ per mole of atoms. Number 4: V 135.7 Å³/cell, total moment 0.00 μB/f.u., E_form 82 kJ per mole of atoms. Number 5: V 129.2 Å³/cell, total moment 0.00 μB/f.u., E_form 64 kJ per mole of atoms. Number 6: V 87.5 Å³/cell, total moment 0.59 μB/f.u., E_form 70 kJ per mole of atoms.